No. 1
# B2OsW2

A geometry-optimized B2OsW2 structure (PBE-GGA, the Alexandria database).

As for the total energy: -0.380 hartree per atom. Its relative energy among the computed polymorphs is 6 kJ/mol of formula units. Its formation energy is -249 meV/atom.

The space group is P4/mnc (No. 128) and the conventional cell measures 5.8907, 5.8907 and 6.5767 Å, with angles of 90.00, 90.00 and 90.00 degrees. The asymmetric unit holds B at (0.1138, 0.3862, 0.2500), Os at (0.0000, 0.0000, 0.2105) and W at (0.1540, 0.6933, 0.5000).

No. 2
# BOsW

A geometry-optimized BOsW structure (PBE-GGA, the Alexandria database).

As for the total energy: -0.385 hartree per atom. Its relative energy among the computed polymorphs is 0 kJ/mol of formula units. Its formation energy is -199 meV/atom.

The space group is C2/m (No. 12) and the conventional cell measures 9.1846, 2.9761 and 6.7620 Å, with angles of 90.00, 128.77 and 90.00 degrees. The asymmetric unit holds B at (0.1166, 0.0000, 0.1447), Os at (0.1822, 0.0000, 0.6068) and W at (0.0787, 0.5000, 0.8485).